(1)
KAgRu: optimized geometry, PBE.

Summary:
- Total magnetization: 0.5 μB per formula unit
- Polymorph energy (0 for the lowest one): 108 meV/atom
- Formation energy from the elements: 898.4 meV/atom

Structure (CIF):
```
data_KAgRu
_chemical_formula_sum 'K1 Ag1 Ru1'
_space_group_name_H-M_alt 'P 3 m 1'
_space_group_IT_number 156
_cell_length_a 2.8872
_cell_length_b 2.8872
_cell_length_c 8.1998
_cell_angle_alpha 90.00
_cell_angle_beta 90.00
_cell_angle_gamma 120.00
loop_
_space_group_symop_operation_xyz
'x,y,z'
'-y,x-y,z'
'-x+y,-x,z'
'-y,-x,z'
'-x+y,y,z'
'x,x-y,z'
loop_
_atom_site_label
_atom_site_fract_x
_atom_site_fract_y
_atom_site_fract_z
K1 0.0000 0.0000 0.0000
Ag1 0.6667 0.3333 0.6300
Ru1 0.3333 0.6667 0.3416
```

(2)
TmMgIrPd: optimized geometry, PBE.

Summary:
- Total magnetization: 0.0 μB per formula unit
- Formation energy from the elements: -761.1 meV/atom

Structure (CIF):
```
data_TmMgIrPd
_chemical_formula_sum 'Tm4 Mg4 Ir4 Pd4'
_space_group_name_H-M_alt 'F -4 3 m'
_space_group_IT_number 216
_space_group_name_Hall 'F -4 2 3'
_cell_length_a 6.597
_cell_length_b 6.597
_cell_length_c 6.597
_cell_angle_alpha 90.00
_cell_angle_beta 90.00
_cell_angle_gamma 90.00
loop_
_atom_site_label
_atom_site_fract_x
_atom_site_fract_y
_atom_site_fract_z
Tm1 0.000 0.000 0.000
Mg1 0.000 0.000 0.500
Ir1 0.250 0.250 0.250
Pd1 0.250 0.250 0.750
```

(3)
Rb3SrBr: optimized geometry, PBE.

Summary:
- Energy relative to the elements, uncorrected: -516 meV/atom
- Total magnetization: 0.0 μB per formula unit
- Polymorph energy (0 for the lowest one): 0 meV/atom

Structure (CIF):
```
data_Rb3SrBr
_chemical_formula_sum 'Rb3 Sr1 Br1'
_space_group_name_H-M_alt 'P m -3 m'
_space_group_IT_number 221
_space_group_name_Hall '-P 4 2 3'
_cell_length_a 6.923
_cell_length_b 6.923
_cell_length_c 6.923
_cell_angle_alpha 90.00
_cell_angle_beta 90.00
_cell_angle_gamma 90.00
loop_
_atom_site_label
_atom_site_fract_x
_atom_site_fract_y
_atom_site_fract_z
Rb1 0.000 0.000 0.500
Sr1 0.500 0.500 0.500
Br1 0.000 0.000 0.000
```